Record 1
# Nd4Er2Tm5, relaxed, DFT PBE
data_Nd4Er2Tm5
_symmetry_space_group_name_H-M 'C 1 2/m 1'
_symmetry_Int_Tables_number 12
_symmetry_space_group_name_Hall '-C 2y'
_cell_length_a 19.055
_cell_length_b 5.623
_cell_length_c 6.595
_cell_angle_alpha 90.00
_cell_angle_beta 90.81
_cell_angle_gamma 90.00
loop_
_atom_site_label
_atom_site_type_symbol
_atom_site_fract_x
_atom_site_fract_y
_atom_site_fract_z
_atom_site_occupancy
Nd1 Nd 0.022 0.000 0.286 1
Nd2 Nd 0.194 0.500 0.073 1
Er1 Er 0.099 0.500 0.556 1
Tm1 Tm 0.000 0.500 0.000 1
Tm2 Tm 0.130 0.000 0.886 1
Tm3 Tm 0.209 0.000 0.402 1
# Energy of formation: 107 meV/atom
# Calculated total energy: -4.489 eV/atom
# Distance to the lowest polymorph of the same formula: 0 meV/atom
# DOS at the Fermi energy: 16.0 states/eV/f.u.

---

Record 2
# Zn2CuBr, relaxed, DFT PBE
data_Zn2CuBr
_symmetry_space_group_name_H-M 'P 4/m m m'
_symmetry_Int_Tables_number 123
_symmetry_space_group_name_Hall '-P 4 2'
_cell_length_a 3.243
_cell_length_b 3.243
_cell_length_c 6.795
_cell_angle_alpha 90.00
_cell_angle_beta 90.00
_cell_angle_gamma 90.00
loop_
_atom_site_label
_atom_site_type_symbol
_atom_site_fract_x
_atom_site_fract_y
_atom_site_fract_z
_atom_site_occupancy
Zn1 Zn 0.000 0.000 0.193 1
Cu1 Cu 0.500 0.500 0.000 1
Br1 Br 0.500 0.500 0.500 1
# ΔE_f (raw): 131 meV/atom
# Calculated total energy: -1.948 eV/atom
# Distance to the lowest polymorph of the same formula: 178 meV/atom
# DOS at the Fermi energy: 1.3 states/eV/f.u.

---

Record 3
# Be2SiPb, relaxed, DFT PBE
data_Be2SiPb
_symmetry_space_group_name_H-M 'P 1 2/m 1'
_symmetry_Int_Tables_number 10
_symmetry_space_group_name_Hall '-P 2y'
_cell_length_a 3.035
_cell_length_b 3.719
_cell_length_c 6.301
_cell_angle_alpha 90.00
_cell_angle_beta 100.00
_cell_angle_gamma 90.00
loop_
_atom_site_label
_atom_site_type_symbol
_atom_site_fract_x
_atom_site_fract_y
_atom_site_fract_z
_atom_site_occupancy
Be1 Be 0.215 0.000 0.359 1
Si1 Si 0.000 0.500 0.500 1
Pb1 Pb 0.000 0.500 0.000 1
# ΔE_f (raw): 581 meV/atom
# Calculated total energy: -3.565 eV/atom
# Distance to the lowest polymorph of the same formula: 325 meV/atom
# DOS at the Fermi energy: 1.2 states/eV/f.u.

---

Record 4
# TlOsBr2, relaxed, DFT PBE
data_TlOsBr2
_symmetry_space_group_name_H-M 'I -4 m 2'
_symmetry_Int_Tables_number 119
_symmetry_space_group_name_Hall 'I -4 -2'
_cell_length_a 4.194
_cell_length_b 4.194
_cell_length_c 12.182
_cell_angle_alpha 90.00
_cell_angle_beta 90.00
_cell_angle_gamma 90.00
loop_
_atom_site_label
_atom_site_type_symbol
_atom_site_fract_x
_atom_site_fract_y
_atom_site_fract_z
_atom_site_occupancy
Tl1 Tl 0.000 0.000 0.000 1
Os1 Os 0.000 0.500 0.250 1
Br1 Br 0.000 0.000 0.500 1
Br2 Br 0.000 0.500 0.750 1
# ΔE_f (raw): 1091 meV/atom
# Calculated total energy: -3.144 eV/atom
# Distance to the lowest polymorph of the same formula: 813 meV/atom
# DOS at the Fermi energy: 5.7 states/eV/f.u.

---

Record 5
# LaLuBeAl, relaxed, DFT PBE
data_LaLuBeAl
_symmetry_space_group_name_H-M 'F -4 3 m'
_symmetry_Int_Tables_number 216
_symmetry_space_group_name_Hall 'F -4 2 3'
_cell_length_a 7.174
_cell_length_b 7.174
_cell_length_c 7.174
_cell_angle_alpha 90.00
_cell_angle_beta 90.00
_cell_angle_gamma 90.00
loop_
_atom_site_label
_atom_site_type_symbol
_atom_site_fract_x
_atom_site_fract_y
_atom_site_fract_z
_atom_site_occupancy
La1 La 0.000 0.000 0.000 1
Lu1 Lu 0.000 0.000 0.500 1
Be1 Be 0.250 0.250 0.750 1
Al1 Al 0.250 0.250 0.250 1
# Energy of formation: -69 meV/atom
# Calculated total energy: -4.298 eV/atom
# DOS at the Fermi energy: 3.4 states/eV/f.u.

---

Record 6
# Tb2PaSbO8, relaxed, DFT PBE
data_Tb2PaSbO8
_symmetry_space_group_name_H-M 'C m m m'
_symmetry_Int_Tables_number 65
_symmetry_space_group_name_Hall '-C 2 2'
_cell_length_a 7.021
_cell_length_b 7.265
_cell_length_c 6.906
_cell_angle_alpha 90.00
_cell_angle_beta 90.00
_cell_angle_gamma 90.00
loop_
_atom_site_label
_atom_site_type_symbol
_atom_site_fract_x
_atom_site_fract_y
_atom_site_fract_z
_atom_site_occupancy
Tb1 Tb 0.000 0.000 0.240 1
Pa1 Pa 0.000 0.500 0.500 1
Sb1 Sb 0.000 0.500 0.000 1
O1 O 0.000 0.319 0.231 1
O2 O 0.202 0.000 0.500 1
O3 O 0.218 0.000 0.000 1
# ΔE_f (raw): -2947 meV/atom
# Calculated total energy: -8.159 eV/atom
# DOS at the Fermi energy: 0.0 states/eV/f.u.

---

Record 7
# Nd2SnGe, relaxed, DFT PBE
data_Nd2SnGe
_symmetry_space_group_name_H-M 'P 4/m m m'
_symmetry_Int_Tables_number 123
_symmetry_space_group_name_Hall '-P 4 2'
_cell_length_a 3.467
_cell_length_b 3.467
_cell_length_c 8.851
_cell_angle_alpha 90.00
_cell_angle_beta 90.00
_cell_angle_gamma 90.00
loop_
_atom_site_label
_atom_site_type_symbol
_atom_site_fract_x
_atom_site_fract_y
_atom_site_fract_z
_atom_site_occupancy
Nd1 Nd 0.000 0.000 0.228 1
Sn1 Sn 0.500 0.500 0.500 1
Ge1 Ge 0.500 0.500 0.000 1
# Energy of formation: -659 meV/atom
# Calculated total energy: -5.198 eV/atom
# DOS at the Fermi energy: 3.0 states/eV/f.u.

---

Record 8
# Mo2AsW, relaxed, DFT PBE
data_Mo2AsW
_symmetry_space_group_name_H-M 'I m m 2'
_symmetry_Int_Tables_number 44
_symmetry_space_group_name_Hall 'I 2 -2'
_cell_length_a 3.206
_cell_length_b 4.260
_cell_length_c 9.087
_cell_angle_alpha 90.00
_cell_angle_beta 90.00
_cell_angle_gamma 90.00
loop_
_atom_site_label
_atom_site_type_symbol
_atom_site_fract_x
_atom_site_fract_y
_atom_site_fract_z
_atom_site_occupancy
Mo1 Mo 0.000 0.000 0.000 1
Mo2 Mo 0.000 0.500 0.245 1
As1 As 0.000 0.000 0.499 1
W1 W 0.000 0.500 0.752 1
# Energy of formation: 111 meV/atom
# Calculated total energy: -9.705 eV/atom
# DOS at the Fermi energy: 2.3 states/eV/f.u.